Entry 1:
VASP calculation (PBE) on crystalline NaLiZnO2 at its relaxed geometry.

a b c (Å): 3.288 3.288 5.778
angles (deg): 90.00 90.00 120.00
Fractional positions:
Na: 0.000 0.000 0.000
Li: 0.333 0.667 0.308
Zn: 0.667 0.333 0.599
O: 0.333 0.667 0.720
O: 0.667 0.333 0.257

Entry 2:
VASP calculation (PBE) on crystalline Na3LiZr2O6 at its relaxed geometry.

a b c (Å): 5.508 5.508 5.683
angles (deg): 99.27 99.27 119.95
Fractional positions:
Na: 0.000 0.000 0.000
Na: 0.343 0.657 0.000
Na: 0.657 0.343 0.000
Li: 0.500 0.500 0.500
Zr: 0.167 0.833 0.500
Zr: 0.833 0.167 0.500
O: 0.076 0.429 0.286
O: 0.220 0.220 0.713
O: 0.429 0.076 0.286
O: 0.571 0.924 0.714
O: 0.780 0.780 0.287
O: 0.924 0.571 0.714

Entry 3:
VASP calculation (PBE) on crystalline NaLi3Os4 at its relaxed geometry.

a b c (Å): 6.569 6.569 6.569
angles (deg): 128.54 128.54 75.75
Fractional positions:
Na: 0.000 0.000 0.000
Li: 0.250 0.750 0.500
Li: 0.500 0.500 0.000
Li: 0.750 0.250 0.500
Os: 0.127 0.127 0.713
Os: 0.414 0.414 0.287
Os: 0.586 0.873 0.000
Os: 0.873 0.586 0.000

Entry 4:
VASP calculation (PBE) on crystalline NaLiPd at its relaxed geometry.

a b c (Å): 4.484 4.484 4.484
angles (deg): 60.00 60.00 60.00
Fractional positions:
Na: 0.000 0.000 0.000
Li: 0.750 0.750 0.750
Pd: 0.250 0.250 0.250

Entry 5:
VASP calculation (PBE) on crystalline NaLiPd at its relaxed geometry.

a b c (Å): 4.353 4.353 4.353
angles (deg): 60.00 60.00 60.00
Fractional positions:
Na: 0.000 0.000 0.000
Li: 0.250 0.250 0.250
Pd: 0.500 0.500 0.500

Entry 6:
VASP calculation (PBE) on crystalline NaLiPdS3 at its relaxed geometry.

a b c (Å): 6.436 6.436 9.263
angles (deg): 90.00 90.00 146.15
Fractional positions:
Na: 0.248 0.752 0.750
Na: 0.752 0.248 0.250
Li: 0.028 0.972 0.250
Li: 0.972 0.028 0.750
Pd: 0.500 0.500 0.000
Pd: 0.500 0.500 0.500
S: 0.126 0.874 0.034
S: 0.126 0.874 0.466
S: 0.421 0.579 0.250
S: 0.579 0.421 0.750
S: 0.874 0.126 0.534
S: 0.874 0.126 0.966

Entry 7:
VASP calculation (PBE) on crystalline NaLiPdSe3 at its relaxed geometry.

a b c (Å): 6.501 6.501 9.821
angles (deg): 90.00 90.00 144.49
Fractional positions:
Na: 0.244 0.756 0.750
Na: 0.756 0.244 0.250
Li: 0.471 0.529 0.250
Li: 0.529 0.471 0.750
Pd: 0.000 0.000 0.000
Pd: 0.000 0.000 0.500
Se: 0.083 0.917 0.250
Se: 0.367 0.633 0.030
Se: 0.367 0.633 0.470
Se: 0.633 0.367 0.530
Se: 0.633 0.367 0.970
Se: 0.917 0.083 0.750

Entry 8:
VASP calculation (PBE) on crystalline NaLiTePd at its relaxed geometry.

a b c (Å): 4.803 4.803 4.803
angles (deg): 60.00 60.00 60.00
Fractional positions:
Na: 0.000 0.000 0.000
Li: 0.500 0.500 0.500
Te: 0.750 0.750 0.750
Pd: 0.250 0.250 0.250

Number 1: electronic total energy -22.10 eV per cell. Number 2: electronic total energy -83.34 eV per cell. Number 3: electronic total energy -39.12 eV per cell. Number 4: electronic total energy -7.74 eV per cell. Number 5: electronic total energy -8.26 eV per cell. Number 6: electronic total energy -48.85 eV per cell. Number 7: electronic total energy -45.25 eV per cell. Number 8: electronic total energy -13.26 eV per cell.